A plane-wave DFT calculation with PBE was carried out for an optimized crystal structure of HoEr3Sc3S8.

Cell and atoms, written as POSCAR:
```
HoEr3Sc3S8
1.0
-2.1331 7.1328 -1.1682
-2.2401 -5.4251 -4.7268
-2.8572 0.2956 7.0221
Er S Sc Ho
3 8 3 1
Cartesian
0.0000 0.0000 0.0000
-1.1201 -2.7125 -2.3634
-2.1866 0.8538 -2.9475
-4.8032 2.8699 1.9859
-5.9291 0.0979 -0.3064
-1.3014 1.9054 1.4334
-4.8997 -3.3442 0.2573
-3.8186 -0.7263 2.5384
-3.4119 2.7296 -1.4114
-2.3308 5.3475 0.8697
-2.4273 -0.8666 -0.8589
-3.6153 1.0017 0.5635
-2.4952 3.7142 2.9269
-2.5487 -2.5647 1.1476
-1.4286 0.1478 3.5110
```

Summary:
Raw formation energy: -1.977 eV/atom
DOS(E_F): 6.5 states/eV/cell
Volume: 305.7 Å³/f.u.
Spin magnetization: 0.00 μB/f.u.
Total DFT energy (no corrections): -6.66 eV/atom

=====

A plane-wave DFT calculation with PBE was carried out for an optimized crystal structure of Zr5Sn3As.

Cell and atoms, written as POSCAR:
```
Zr5Sn3As
1.0
-7.4741 1.9356 -4.0056
5.6906 -5.3854 -3.7772
-2.6272 -4.6413 2.6593
Zr Sn As
10 6 2
Cartesian
-3.2875 -6.0286 -3.7531
-3.0859 -0.5047 -3.9295
-0.0112 -5.2657 -2.5237
1.3024 -2.9451 -3.8533
-0.4823 -4.8892 1.0068
-1.1232 -2.0624 -1.3703
3.5458 -5.1375 -2.1246
-6.1764 0.2692 -2.2933
-4.3995 -2.8253 -2.5998
-3.9249 -2.9748 0.9470
-3.6126 -0.3948 -0.9192
-2.6757 -4.8452 -1.0833
-1.7350 -3.2458 -4.0401
1.5937 -3.2901 -0.8289
1.4698 -6.7366 -0.2890
-6.4888 -2.3108 -0.4270
0.0000 0.0000 0.0000
-1.3136 -2.3206 1.3297
```

Summary:
ΔE_f: -774.5 meV/atom
DOS(E_F): 9.7 states/eV/cell
Volume: 195.2 Å³/f.u.
Spin magnetization: 0.00 μB/f.u.
Total DFT energy (no corrections): -7.37 eV/atom

=====

A plane-wave DFT calculation with PBE was carried out for an optimized crystal structure of Ti2VI.

Cell and atoms, written as POSCAR:
```
Ti2VI
1.0
5.6548 0.0000 0.0000
0.0000 5.6548 0.0000
2.8274 2.8274 6.1197
V Ti I
2 4 2
Cartesian
2.8274 5.6548 3.0599
2.8274 2.8274 0.0000
7.0685 6.5124 4.5898
3.6850 1.4137 1.5299
4.2411 4.7973 4.5898
1.9699 4.2411 1.5299
5.6548 2.8274 3.0599
0.0000 0.0000 0.0000
```

Summary:
Raw formation energy: 1.083 eV/atom
DOS(E_F): 8.9 states/eV/cell
Volume: 97.8 Å³/f.u.
Spin magnetization: 0.00 μB/f.u.
E above lowest polymorph: 580 meV/atom
Total DFT energy (no corrections): -5.53 eV/atom

=====

A plane-wave DFT calculation with PBE was carried out for an optimized crystal structure of Mn2AsW.

Cell and atoms, written as POSCAR:
```
Mn2AsW
1.0
3.1899 0.0000 0.0000
0.0000 3.1911 0.0000
0.0000 0.0000 5.5049
As Mn W
1 2 1
Cartesian
1.5950 1.5956 4.2193
1.5950 1.5956 1.3423
0.0000 0.0000 0.0192
0.0000 0.0000 2.6765
```

Summary:
ΔE_f: 166.6 meV/atom
DOS(E_F): 3.5 states/eV/cell
Volume: 56.0 Å³/f.u.
Spin magnetization: 4.66 μB/f.u.
Total DFT energy (no corrections): -8.82 eV/atom

=====

A plane-wave DFT calculation with PBE was carried out for an optimized crystal structure of Th2Sc2Ni3.

Cell and atoms, written as POSCAR:
```
Th2Sc2Ni3
1.0
4.2433 -0.0265 0.0016
-2.1542 6.8069 1.1476
-0.0023 0.1836 5.2242
Ni Th Sc
3 2 2
Cartesian
0.0000 0.0000 0.0000
2.1042 3.1571 2.3899
-0.0174 3.8069 3.9836
2.1000 2.0263 5.0117
-0.0131 4.9377 1.3618
2.1142 5.3688 3.9403
-0.0274 1.5952 2.4331
```

Summary:
ΔE_f: -327.1 meV/atom
DOS(E_F): 5.3 states/eV/cell
Volume: 149.7 Å³/f.u.
Spin magnetization: 0.00 μB/f.u.
Total DFT energy (no corrections): -6.73 eV/atom

=====

A plane-wave DFT calculation with PBE was carried out for an optimized crystal structure of HoCo4B2.

Cell and atoms, written as POSCAR:
```
HoCo4B2
1.0
3.5116 0.0000 0.0000
0.0000 3.5239 0.0000
0.0000 -1.7620 6.2964
Ho Co B
1 4 2
Cartesian
0.0000 0.0000 0.0000
0.0000 0.0000 3.9920
0.0000 1.7620 2.3045
1.7558 1.7620 4.0184
1.7558 0.0000 2.2780
1.7558 0.0000 5.0683
1.7558 1.7620 1.2281
```

Summary:
ΔE_f: -324.2 meV/atom
DOS(E_F): 6.1 states/eV/cell
Volume: 77.9 Å³/f.u.
Spin magnetization: 2.63 μB/f.u.
Total DFT energy (no corrections): -6.95 eV/atom

=====

A plane-wave DFT calculation with PBE was carried out for an optimized crystal structure of LiRePb2.

Cell and atoms, written as POSCAR:
```
LiRePb2
1.0
5.6503 0.0027 0.0000
2.6787 4.9750 0.0000
-4.1645 -2.4888 2.8963
Pb Li Re
2 1 1
Cartesian
0.0000 0.0000 0.0000
1.3394 2.4875 1.4481
2.8251 0.0013 1.4481
4.1645 2.4888 0.0000
```

Summary:
ΔE_f: 663.2 meV/atom
DOS(E_F): 3.0 states/eV/cell
Volume: 81.4 Å³/f.u.
Spin magnetization: 0.62 μB/f.u.
E above lowest polymorph: 197 meV/atom
Total DFT energy (no corrections): -4.78 eV/atom

=====

A plane-wave DFT calculation with PBE was carried out for an optimized crystal structure of Pr2NdDy4Tm2.

Cell and atoms, written as POSCAR:
```
Pr2NdDy4Tm2
1.0
6.2839 2.5389 0.8693
1.3331 9.5699 2.2793
-3.2471 -4.0836 4.1150
Pr Dy Tm Nd
2 4 2 1
Cartesian
3.7531 3.5009 3.0798
0.6169 4.5243 4.1838
3.2476 6.7711 4.3564
5.1646 9.5109 3.4642
1.1223 1.2542 2.9071
-0.7946 -1.4857 3.7993
5.6276 6.2086 1.8795
-1.2576 1.8166 5.3840
0.0000 0.0000 0.0000
```

Summary:
ΔE_f: 80.0 meV/atom
DOS(E_F): 13.3 states/eV/cell
Volume: 295.5 Å³/f.u.
Spin magnetization: 0.00 μB/f.u.
Total DFT energy (no corrections): -4.55 eV/atom

=====

A plane-wave DFT calculation with PBE was carried out for an optimized crystal structure of Gd2LuMg.

Cell and atoms, written as POSCAR:
```
Gd2LuMg
1.0
-1.1993 3.3433 -0.6492
0.2134 -0.6131 -3.5519
-8.5654 -3.0695 0.0152
Gd Mg Lu
2 1 1
Cartesian
-2.0516 -0.7352 0.0037
-6.5138 -2.3343 0.0116
-0.4929 1.3651 -2.1005
-4.7756 -0.1696 -2.0929
```

Summary:
ΔE_f: -24.9 meV/atom
DOS(E_F): 6.1 states/eV/cell
Volume: 118.6 Å³/f.u.
Spin magnetization: 15.23 μB/f.u.
E above lowest polymorph: 0 meV/atom
Total DFT energy (no corrections): -8.59 eV/atom

=====

A plane-wave DFT calculation with PBE was carried out for an optimized crystal structure of AcCu3Pd4O12.

Cell and atoms, written as POSCAR:
```
AcCu3Pd4O12
1.0
6.6496 0.0000 0.0000
-2.2165 6.2693 0.0000
-2.2165 -3.1347 5.4294
O Pd Cu Ac
12 4 3 1
Cartesian
2.3054 -1.6301 4.6246
0.6571 -0.4647 2.6059
3.7760 3.7802 0.9006
-1.5594 -0.6456 4.5289
2.8737 1.1102 3.7241
2.1277 1.4492 0.9006
-0.6571 2.0245 1.7054
1.5594 3.5993 2.8235
-0.0888 4.7648 0.8048
0.0888 1.6854 4.5289
-2.3054 3.1900 3.7241
4.5219 -0.0553 1.7054
1.1083 1.5673 2.7147
-1.1083 -1.5673 2.7147
-1.1083 3.1347 0.0000
3.3248 0.0000 0.0000
2.2165 3.1347 0.0000
-2.2165 1.5673 2.7147
2.2165 -1.5673 2.7147
0.0000 0.0000 0.0000
```

Summary:
Raw formation energy: -0.816 eV/atom
DOS(E_F): 13.0 states/eV/cell
Volume: 226.3 Å³/f.u.
Spin magnetization: 0.00 μB/f.u.
Total DFT energy (no corrections): -5.65 eV/atom

=====

A plane-wave DFT calculation with PBE was carried out for an optimized crystal structure of KCaTa2.

Cell and atoms, written as POSCAR:
```
KCaTa2
1.0
6.7635 -0.0032 0.0004
4.1338 5.3532 -0.0004
-4.8497 -3.8949 2.6561
Ta Ca K
2 1 1
Cartesian
5.5321 2.7160 0.0000
10.8138 5.3090 0.0000
3.6812 -0.6115 1.3282
2.3663 2.0667 1.3279
```

Summary:
ΔE_f: 1171.0 meV/atom
DOS(E_F): 4.4 states/eV/cell
Volume: 96.2 Å³/f.u.
Spin magnetization: 0.00 μB/f.u.
E above lowest polymorph: 562 meV/atom
Total DFT energy (no corrections): -5.53 eV/atom

=====

A plane-wave DFT calculation with PBE was carried out for an optimized crystal structure of Re7Rh6.

Cell and atoms, written as POSCAR:
```
Re7Rh6
1.0
-7.2983 5.8038 1.2396
-6.1851 3.9846 5.8613
-3.4652 7.8208 3.9133
Re Rh
7 6
Cartesian
-6.8553 8.3609 3.5208
-8.2348 6.4151 4.5088
-8.7138 11.1941 6.5054
-8.4743 8.8046 5.5071
-10.6579 10.1711 5.1493
-6.2906 7.4381 5.8649
-10.0933 9.2484 7.4935
-0.7889 0.8196 0.5126
-16.1597 16.7896 10.5016
-11.2361 11.6740 7.3019
-2.5478 2.6472 1.6557
-5.7125 5.9352 3.7124
-14.4007 14.9621 9.3585
```

Summary:
ΔE_f: 158.3 meV/atom
DOS(E_F): 12.7 states/eV/cell
Volume: 200.5 Å³/f.u.
Spin magnetization: 0.00 μB/f.u.
Total DFT energy (no corrections): -9.94 eV/atom